Record 1
VASP calculation (PBE-GGA) on an optimized crystal structure of Sc2BeRe.

Cell and atoms, written as extended XYZ:
```
4
Lattice="-1.606 -2.027 2.034 2.189 0.643 2.370 -3.526 4.765 1.966" Properties=species:S:1:pos:R:3 pbc="T T T"
Re -2.353 2.882 3.676
Be -0.590 0.499 2.693
Sc -3.514 4.749 1.959
Sc -1.775 2.399 0.989
```

- DOS(E_F): 3.709 states/eV/f.u.
- Symmetry: No. 123
- Energy relative to the elements: 6 meV per atom
- Calculated volume: 68 Å³/f.u.

Record 2
VASP calculation (PBE-GGA) on an optimized crystal structure of HoBeCu2.

Cell and atoms, written as extended XYZ:
```
4
Lattice="-1.854 -3.518 -0.492 -0.321 -2.543 3.080 -4.737 -0.072 2.053" Properties=species:S:1:pos:R:3 pbc="T T T"
Be -3.456 -3.066 2.321
Cu -2.314 -1.249 1.334
Cu -4.598 -4.884 3.307
Ho 0.000 0.000 0.000
```

- DOS(E_F): 2.766 states/eV/f.u.
- Symmetry: No. 166
- Energy relative to the elements: -155 meV per atom
- Calculated volume: 64 Å³/f.u.

Q: Which of these has the highest calculated volume?
A: Sc2BeRe